Here is a geometry-optimized PmAgRhAu structure from Alexandria via LeMat-Bulk. Energies are from GGA-PBE.

Cell: 4.849 4.849 4.849 Å, 60.00 60.00 60.00°
Fractional positions:
Pm 0.000 0.000 0.000
Ag 0.500 0.500 0.500
Rh 0.250 0.250 0.250
Au 0.750 0.750 0.750

Results
magnetization: 0.000 μB/f.u.
total DFT energy (no corrections): -19.6 eV/cell

Here is a geometry-optimized Pm4AgRhAu2 structure from Alexandria via LeMat-Bulk. Energies are from GGA-PBE.

Cell: 8.918 8.918 8.918 Å, 33.82 33.82 33.82°
Fractional positions:
Pm 0.118 0.118 0.118
Pm 0.369 0.369 0.369
Pm 0.631 0.631 0.631
Pm 0.882 0.882 0.882
Ag 0.500 0.500 0.500
Rh 0.000 0.000 0.000
Au 0.242 0.242 0.242
Au 0.758 0.758 0.758

Results
magnetization: 0.000 μB/f.u.
total DFT energy (no corrections): -40.9 eV/cell

Here is a geometry-optimized Pm2Si3AgAu4 structure from Alexandria via LeMat-Bulk. Energies are from GGA-PBE.

Cell: 4.315 4.315 10.748 Å, 90.00 90.00 90.00°
Fractional positions:
Pm 0.000 0.500 0.243
Pm 0.500 0.000 0.757
Si 0.000 0.500 0.869
Si 0.500 0.000 0.131
Si 0.500 0.500 0.500
Ag 0.000 0.000 0.500
Au 0.000 0.000 0.000
Au 0.000 0.500 0.648
Au 0.500 0.000 0.352
Au 0.500 0.500 0.000

Results
raw formation energy: -49.3 kJ/mol of atoms
magnetization: 0.000 μB/f.u.

What is the formula in the first record? PmAgRhAu